Computed, not measured: a geometry-optimized Te2SeICl structure at the GGA-PBEsol level of DFT.

```
Te2SeICl
1.0
5.4441 0.0000 0.0000
0.0000 5.4441 0.0000
0.0000 0.0000 5.4662
I Te Cl Se
1 2 1 1
Cartesian
0.0000 0.0000 2.7331 I
2.7221 0.0000 0.0000 Te
0.0000 2.7221 0.0000 Te
2.7221 2.7221 2.7331 Cl
0.0000 0.0000 0.0000 Se
```

- Total magnetization: 0.00 μB/cell
- Space-group type: No. 123
- E: -2.45 eV/atom

=====

Computed, not measured: a geometry-optimized TaTe2IBr structure at the GGA-PBEsol level of DFT.

```
TaTe2IBr
1.0
5.5183 0.0000 0.0000
0.0000 5.3847 0.0000
0.0000 0.0000 5.3847
Te Br Ta I
2 1 1 1
Cartesian
0.0000 0.0000 2.6924 Te
0.0000 2.6924 0.0000 Te
0.0000 0.0000 0.0000 Br
2.7592 2.6924 2.6924 Ta
2.7592 0.0000 0.0000 I
```

- Total magnetization: 2.54 μB/cell
- Space-group type: No. 123
- E: -3.10 eV/atom

=====

The calculation returns the following formation energy without anion corrections values, one per record and in order: 0.48 1.55 eV/atom.